[1]
Material: NaZrTlNi
Method: DFT, PBE
State: optimized geometry

Unit cell a=4.6712 b=4.6712 c=4.6712 alpha=60.00 beta=60.00 gamma=60.00
Last column: nearest neighbours and their distance in Å.
Fractional coordinates of all 4 atoms:
Na1 0.7500 0.7500 0.7500  4 Tl 2.86, 4 Zr 2.86
Tl1 0.5000 0.5000 0.5000  4 Na 2.86, 4 Ni 2.86
Zr1 0.0000 0.0000 0.0000  4 Na 2.86, 4 Ni 2.86
Ni1 0.2500 0.2500 0.2500  4 Tl 2.86, 4 Zr 2.86

- crystal system = cubic
- symmetry = No. 216


[2]
Material: GdZrNO
Method: DFT, PBE
State: optimized geometry

Unit cell a=3.8910 b=4.7272 c=6.7441 alpha=90.00 beta=90.00 gamma=90.00
Last column: nearest neighbours and their distance in Å.
Fractional coordinates of all 8 atoms:
Gd1 0.5000 0.9384 0.1606  2 N 2.34, 3 O 2.37-2.40
Gd2 0.5000 0.4384 0.8394  2 N 2.34, 3 O 2.37-2.40
N1 0.0000 0.4385 0.6461  1 Zr 2.10, 2 Gd 2.34
N2 0.0000 0.9385 0.3539  1 Zr 2.10, 2 Gd 2.34
O1 0.5000 0.4385 0.1954  2 Zr 2.16, 3 Gd 2.37-2.40
O2 0.5000 0.9385 0.8046  2 Zr 2.16, 3 Gd 2.37-2.40
Zr1 0.0000 0.4387 0.3354  1 N 2.10, 2 O 2.16
Zr2 0.0000 0.9387 0.6646  1 N 2.10, 2 O 2.16

- crystal system = orthorhombic
- symmetry = No. 51


[3]
Material: ScCoReSi
Method: DFT, PBE
State: optimized geometry

Unit cell a=4.2847 b=4.2847 c=4.2847 alpha=60.00 beta=60.00 gamma=60.00
Last column: nearest neighbours and their distance in Å.
Fractional coordinates of all 4 atoms:
Co1 0.7500 0.7500 0.7500  4 Sc 2.62, 4 Si 2.62
Re1 0.2500 0.2500 0.2500  4 Sc 2.62, 4 Si 2.62
Sc1 0.5000 0.5000 0.5000  4 Re 2.62, 4 Co 2.62
Si1 0.0000 0.0000 0.0000  4 Re 2.62, 4 Co 2.62

- crystal system = cubic
- symmetry = No. 216


Computed values of final energy (unit: eV/atom) for the preceding records, in sequence: -4.34; -8.67; -8.02.